(1)
Computed, not measured: an optimized crystal structure of CsTlPO2 at the PBE level of DFT.

Properties
final energy	-2.952	eV/atom
symmetry	P4/mmm, No. 123

Unit cell a=4.4486 b=4.4486 c=5.7957 alpha=90.00 beta=90.00 gamma=90.00
Last column: nearest neighbours and their distance in Å.
Fractional coordinates of all 5 atoms:
Cs1 0.0000 0.0000 0.0000  4 O 2.22
Tl1 0.5000 0.5000 0.5000  4 P 3.15
P1 0.0000 0.0000 0.5000  2 Cs 2.90, 4 Tl 3.15
O1 0.0000 0.5000 0.0000  2 Cs 2.22
O2 0.5000 0.0000 0.0000  2 Cs 2.22

(2)
Computed, not measured: an optimized crystal structure of PaTlTeN at the PBE level of DFT.

Properties
final energy	-6.870	eV/atom
symmetry	P4/nmm, No. 129

Unit cell a=4.0980 b=4.0980 c=11.7442 alpha=90.00 beta=90.00 gamma=90.00
Last column: nearest neighbours and their distance in Å.
Fractional coordinates of all 8 atoms:
Pa1 0.2500 0.2500 0.0935  4 N 2.32
Pa2 0.7500 0.7500 0.9065  4 N 2.32
Tl1 0.2500 0.7500 0.5000  4 Tl 2.90
Tl2 0.7500 0.2500 0.5000  4 Tl 2.90
Te1 0.2500 0.2500 0.7588  4 Pa 3.38, 4 N 3.50, 4 Tl 3.67
Te2 0.7500 0.7500 0.2412  4 Pa 3.38, 4 N 3.50, 4 Tl 3.67
N1 0.2500 0.7500 0.0000  4 Pa 2.32
N2 0.7500 0.2500 0.0000  4 Pa 2.32

(3)
Computed, not measured: an optimized crystal structure of ZnIn2Br at the PBE level of DFT.

Properties
energy above the most stable polymorph in this dataset	25	meV/atom
symmetry	Pm, No. 6

Unit cell a=3.5506 b=5.6514 c=5.5531 alpha=90.00 beta=99.38 gamma=90.00
Last column: nearest neighbours and their distance in Å.
Fractional coordinates of all 4 atoms:
Zn1 0.0000 0.0000 0.0000  4 In 2.83-2.98
In1 0.6962 0.0000 0.4664  3 Zn 2.96-3.28, 2 Br 3.10
In2 0.9842 0.5000 0.0063  2 Zn 2.83, 3 Br 3.05-3.14
Br1 0.3752 0.5000 0.5374  5 In 3.05-3.14

(4)
Computed, not measured: an optimized crystal structure of CaZnSbH at the PBE level of DFT.

Properties
energy above the most stable polymorph in this dataset	299	meV/atom
symmetry	P3m1, No. 156

Unit cell a=4.3555 b=4.3555 c=5.0283 alpha=90.00 beta=90.00 gamma=120.00
Last column: nearest neighbours and their distance in Å.
Fractional coordinates of all 4 atoms:
Ca1 0.0000 0.0000 0.0000  3 H 2.52
Zn1 0.3333 0.6667 0.6125  3 Sb 2.67
Sb1 0.6667 0.3333 0.4363  1 H 2.02
H1 0.6667 0.3333 0.0352  1 Sb 2.02

no.,V (Å³ per cell),theoretical density (g/cm3)
1,114.7,5.79
2,197.2,9.72
3,109.9,5.66
4,82.6,4.59